Record 1
The following is a GGA-PBE calculation of a relaxed structure of Sr2ReRhO6, from Alexandria via LeMat-Bulk.

Summary:
Calculated volume: 135.3 Å³/f.u.
SG: No. 166
ΔE_f (raw): -1835 meV per atom

Cell and atoms, written as POSCAR:
```
Sr2ReRhO6
1.0
5.7509 0.0000 0.0000
2.8754 4.9804 0.0000
2.8754 1.6601 9.4470
Sr Re Rh O
4 2 2 12
direct
0.8715 0.8715 0.3855
0.1285 0.1285 0.6145
0.7233 0.7233 0.8300
0.2767 0.2767 0.1700
0.0000 0.0000 0.0000
0.5000 0.5000 0.5000
0.5913 0.5913 0.2262
0.4087 0.4087 0.7738
0.8682 0.3781 0.3755
0.3781 0.8682 0.3755
0.3781 0.3781 0.3755
0.1318 0.6219 0.6245
0.6219 0.1318 0.6245
0.6219 0.6219 0.6245
0.7316 0.1952 0.8781
0.1952 0.7316 0.8781
0.1952 0.1952 0.8781
0.2684 0.8048 0.1219
0.8048 0.2684 0.1219
0.8048 0.8048 0.1219
```

=====

Record 2
The following is a GGA-PBE calculation of a relaxed structure of Sr2ReRhO, from Alexandria via LeMat-Bulk.

Summary:
Calculated volume: 133.6 Å³/f.u.
SG: No. 123
ΔE_f (raw): 160 meV per atom

Cell and atoms, written as POSCAR:
```
Sr2ReRhO
1.0
-5.3397 2.6829 0.1783
-1.0454 -2.2656 2.7831
2.1056 3.9259 3.9869
Re Rh O Sr
1 1 1 2
direct
0.0000 0.0000 0.0000
0.5000 0.5000 0.5000
0.0000 0.5000 0.0000
0.0000 0.0000 0.5000
0.5000 0.0000 0.0000
```

=====

Record 3
The following is a GGA-PBE calculation of a relaxed structure of ReRuO3, from Alexandria via LeMat-Bulk.

Summary:
Calculated volume: 58.7 Å³/f.u.
SG: No. 221
ΔE_f (raw): -302 meV per atom

Cell and atoms, written as POSCAR:
```
ReRuO3
1.0
-1.5444 -3.3702 1.1639
3.4986 -1.6769 -0.2131
0.6872 0.9632 3.7011
Re O Ru
1 3 1
direct
0.0000 0.0000 0.0000
0.0000 0.5000 0.0000
0.0000 0.0000 0.5000
0.5000 0.0000 0.0000
0.5000 0.5000 0.5000
```